No. 1
The following is a PBE calculation of a relaxed Ba2SrCaO4 crystal, from Alexandria via LeMat-Bulk. Values from VASP.

Quantum ESPRESSO input file:
```
&SYSTEM
  ibrav = 0, nat = 8, ntyp = 4
/
ATOMIC_SPECIES
O 16.00 O.upf
Sr 87.62 Sr.upf
Ba 137.33 Ba.upf
Ca 40.08 Ca.upf
ATOMIC_POSITIONS crystal
O 0.5000 0.7632 0.7737
O 0.0000 0.2505 0.7719
Sr 0.5000 0.5000 0.0000
Ba 0.0000 0.5000 0.5000
Ca 0.0000 0.0000 0.0000
O 0.0000 0.7495 0.2281
O 0.5000 0.2368 0.2263
Ba 0.5000 0.0000 0.5000
CELL_PARAMETERS angstrom
-1.8025 3.0044 1.3696
-0.0830 -2.7381 5.8973
5.4544 3.5665 -0.6454
```

Calculated values
formation energy without anion corrections = -2.58 eV per atom
space group = No. 10
N(E_F) = 0.000 states/eV per atom

No. 2
The following is a PBE calculation of a relaxed ZnTcPb2 crystal, from Alexandria via LeMat-Bulk. Values from VASP.

Quantum ESPRESSO input file:
```
&SYSTEM
  ibrav = 0, nat = 4, ntyp = 3
/
ATOMIC_SPECIES
Pb 207.20 Pb.upf
Zn 65.41 Zn.upf
Tc 98.00 Tc.upf
ATOMIC_POSITIONS crystal
Pb 0.0000 0.0000 0.0297
Pb 0.0000 0.0000 0.4703
Zn 0.5000 0.5000 0.7500
Tc 0.5000 0.5000 0.2500
CELL_PARAMETERS angstrom
-1.2290 -1.5895 -2.5288
3.1223 -0.3916 -0.7280
0.1437 -7.5618 4.6831
```

Calculated values
space group = No. 65
N(E_F) = 0.405 states/eV per atom
energy = -4.23 eV/atom

No. 3
The following is a PBE calculation of a relaxed NaSr6Ag crystal, from Alexandria via LeMat-Bulk. Values from VASP.

Quantum ESPRESSO input file:
```
&SYSTEM
  ibrav = 0, nat = 8, ntyp = 3
/
ATOMIC_SPECIES
Sr 87.62 Sr.upf
Ag 107.87 Ag.upf
Na 22.99 Na.upf
ATOMIC_POSITIONS crystal
Sr 0.2197 0.9606 0.2412
Sr 0.9595 0.5805 0.2408
Sr 0.7803 0.0394 0.7588
Sr 0.4191 0.7809 0.7593
Sr 0.5809 0.2191 0.2407
Ag 0.0000 0.0000 0.0000
Sr 0.0405 0.4195 0.7592
Na 0.5000 0.5000 0.5000
CELL_PARAMETERS angstrom
8.0488 0.0117 -0.0040
4.0165 6.9982 0.0088
3.9993 2.3270 7.3242
```

Calculated values
space group = No. 2
N(E_F) = 0.979 states/eV per atom
energy above the lowest structure with this stoichiometry = 73 meV/atom

No. 4
The following is a PBE calculation of a relaxed GeS2I crystal, from Alexandria via LeMat-Bulk. Values from VASP.

Quantum ESPRESSO input file:
```
&SYSTEM
  ibrav = 0, nat = 4, ntyp = 3
/
ATOMIC_SPECIES
S 32.06 S.upf
I 126.90 I.upf
Ge 72.64 Ge.upf
ATOMIC_POSITIONS crystal
S 0.8898 0.8898 0.8898
S 0.1102 0.1102 0.1102
I 0.0000 0.0000 0.0000
Ge 0.5000 0.5000 0.5000
CELL_PARAMETERS angstrom
-2.2387 -7.7843 1.3002
0.1025 -8.0018 -1.8054
1.6270 -7.8421 1.7756
```

Calculated values
formation energy without anion corrections = 0.05 eV per atom
space group = No. 166
N(E_F) = 0.586 states/eV per atom
energy above the lowest structure with this stoichiometry = 259 meV/atom

No. 5
The following is a PBE calculation of a relaxed Sc4H2Pb3 crystal, from Alexandria via LeMat-Bulk. Values from VASP.

Quantum ESPRESSO input file:
```
&SYSTEM
  ibrav = 0, nat = 18, ntyp = 3
/
ATOMIC_SPECIES
H 1.01 H.upf
Sc 44.96 Sc.upf
Pb 207.20 Pb.upf
ATOMIC_POSITIONS crystal
H 0.9349 0.4027 0.1418
Sc 0.6011 0.3718 0.2308
Pb 0.7500 0.4836 0.5164
Sc 0.8989 0.7692 0.6282
Sc 0.4650 0.8881 0.3530
H 0.5651 0.8582 0.5973
Sc 0.9650 0.3530 0.8881
Pb 0.2500 0.5164 0.4836
Pb 0.9471 0.9928 0.2225
Pb 0.4471 0.2225 0.9928
H 0.0651 0.5973 0.8582
Pb 0.5529 0.7775 0.0072
Sc 0.5350 0.1119 0.6470
Pb 0.0529 0.0072 0.7775
Sc 0.0350 0.6470 0.1119
Sc 0.1011 0.2308 0.3718
Sc 0.3989 0.6282 0.7692
H 0.4349 0.1418 0.4027
CELL_PARAMETERS angstrom
6.1631 0.4669 0.3343
0.9650 7.8170 -0.0310
0.9650 2.4894 7.4101
```

Calculated values
space group = No. 15
N(E_F) = 0.521 states/eV per atom
energy = -5.22 eV/atom

No. 6
The following is a PBE calculation of a relaxed AcYHgRh crystal, from Alexandria via LeMat-Bulk. Values from VASP.

Quantum ESPRESSO input file:
```
&SYSTEM
  ibrav = 0, nat = 4, ntyp = 4
/
ATOMIC_SPECIES
Ac 227.00 Ac.upf
Rh 102.91 Rh.upf
Hg 200.59 Hg.upf
Y 88.91 Y.upf
ATOMIC_POSITIONS crystal
Ac 0.2500 0.2500 0.2500
Rh 0.0000 0.0000 0.0000
Hg 0.5000 0.5000 0.5000
Y 0.7500 0.7500 0.7500
CELL_PARAMETERS angstrom
5.2957 0.0000 0.0000
2.6479 4.5862 0.0000
2.6479 1.5287 4.3239
```

Calculated values
space group = No. 216
N(E_F) = 0.608 states/eV per atom
energy = -5.03 eV/atom

No. 7
The following is a PBE calculation of a relaxed Li2Cd2H4Ir crystal, from Alexandria via LeMat-Bulk. Values from VASP.

Quantum ESPRESSO input file:
```
&SYSTEM
  ibrav = 0, nat = 9, ntyp = 4
/
ATOMIC_SPECIES
Li 6.94 Li.upf
Cd 112.41 Cd.upf
H 1.01 H.upf
Ir 192.22 Ir.upf
ATOMIC_POSITIONS crystal
Li 0.5000 0.2500 0.7500
Cd 0.0000 0.6692 0.6692
Cd 0.0000 0.3308 0.3308
H 0.0000 0.7790 0.2210
H 0.5581 0.7790 0.7790
H 0.0000 0.2210 0.7790
H 0.4419 0.2210 0.2210
Ir 0.0000 0.0000 0.0000
Li 0.5000 0.7500 0.2500
CELL_PARAMETERS angstrom
5.5119 -0.1119 -0.1615
-2.7440 4.7817 0.1615
-2.7440 -1.5288 4.5336
```

Calculated values
space group = No. 139
N(E_F) = 0.044 states/eV per atom
energy = -3.13 eV/atom

No. 8
The following is a PBE calculation of a relaxed SnSeI2N crystal, from Alexandria via LeMat-Bulk. Values from VASP.

Quantum ESPRESSO input file:
```
&SYSTEM
  ibrav = 0, nat = 5, ntyp = 4
/
ATOMIC_SPECIES
I 126.90 I.upf
N 14.01 N.upf
Sn 118.71 Sn.upf
Se 78.96 Se.upf
ATOMIC_POSITIONS crystal
I 0.0000 0.5000 0.0000
I 0.5000 0.0000 0.0000
N 0.0000 0.0000 0.5000
Sn 0.0000 0.0000 0.0000
Se 0.5000 0.5000 0.5000
CELL_PARAMETERS angstrom
6.0838 0.0000 0.0000
0.0000 6.0838 0.0000
0.0000 0.0000 3.8779
```

Calculated values
formation energy without anion corrections = 0.86 eV per atom
space group = No. 123
N(E_F) = 1.242 states/eV per atom
energy above the lowest structure with this stoichiometry = 188 meV/atom